{
  "formula": "Ir3Os5",
  "functional": "GGA-PBEsol",
  "state": "relaxed",
  "lattice": [[-3.789, 0.103, 0.418], [-0.560, -3.296, -4.259], [0.249, -4.279, 3.308]],
  "species": ["Ir", "Ir", "Ir", "Os", "Os", "Os", "Os", "Os"],
  "fractional_positions": [[0.500, 0.249, 0.249], [0.500, 0.751, 0.751], [0.000, 0.500, 0.500], [0.000, 0.500, 0.000], [0.500, 0.751, 0.249], [0.500, 0.249, 0.751], [0.000, 0.000, 0.500], [0.000, 0.000, 0.000]],
  "dft_energy_ev_per_cell": -90.05,
  "magmom_total_mub_per_cell": 0.00,
  "formation_enthalpy_0k_mev_per_atom": 63
}